# CsSiW3 (PBE, optimized geometry)
# volume = 24.125 Å³ per atom
# ρ = 9.8 Mg/m³
# energy above the lowest structure with this stoichiometry = 2024.8 meV per atom
# formation energy (no corrections) = 403 kJ/mol of atoms
data_CsSiW3
_chemical_formula_sum 'Cs1 Si1 W3'
_cell_length_a 4.9410
_cell_length_b 4.9410
_cell_length_c 4.9410
_cell_angle_alpha 90.00
_cell_angle_beta 90.00
_cell_angle_gamma 90.00
_symmetry_space_group_name_H-M 'P m -3 m'
_symmetry_Int_Tables_number 221
_symmetry_space_group_name_Hall '-P 4 2 3'
loop_
_atom_site_label
_atom_site_fract_x
_atom_site_fract_y
_atom_site_fract_z
Cs1 0.0000 0.0000 0.0000
Si1 0.5000 0.5000 0.5000
W1 0.0000 0.0000 0.5000



# CsSi2W2 (PBE, optimized geometry)
# volume = 25.434 Å³ per atom
# ρ = 7.3 Mg/m³
# energy above the lowest structure with this stoichiometry = 0.0 meV per atom
# formation energy (no corrections) = 38 kJ/mol of atoms
data_CsSi2W2
_chemical_formula_sum 'Cs2 Si4 W4'
_cell_length_a 4.0242
_cell_length_b 4.0242
_cell_length_c 15.7059
_cell_angle_alpha 90.00
_cell_angle_beta 90.00
_cell_angle_gamma 90.00
_symmetry_space_group_name_H-M 'I 4/m m m'
_symmetry_Int_Tables_number 139
_symmetry_space_group_name_Hall '-I 4 2'
loop_
_atom_site_label
_atom_site_fract_x
_atom_site_fract_y
_atom_site_fract_z
Cs1 0.0000 0.0000 0.0000
Si1 0.0000 0.0000 0.3467
W1 0.0000 0.5000 0.2500



# Cs2ZnSiW (PBE, optimized geometry)
# volume = 45.294 Å³ per atom
# ρ = 4.0 Mg/m³
# formation energy (no corrections) = 142 kJ/mol of atoms
data_Cs2ZnSiW
_chemical_formula_sum 'Cs2 Zn1 Si1 W1'
_cell_length_a 7.1604
_cell_length_b 7.1604
_cell_length_c 4.4171
_cell_angle_alpha 90.00
_cell_angle_beta 90.00
_cell_angle_gamma 90.00
_symmetry_space_group_name_H-M 'P 4/m m m'
_symmetry_Int_Tables_number 123
_symmetry_space_group_name_Hall '-P 4 2'
loop_
_atom_site_label
_atom_site_fract_x
_atom_site_fract_y
_atom_site_fract_z
Cs1 0.0000 0.5000 0.0000
Zn1 0.0000 0.0000 0.0000
Si1 0.0000 0.0000 0.5000
W1 0.5000 0.5000 0.5000